Density functional theory data (PBE) for an optimized crystal structure of K6UBr8.

Lattice parameters (Å, degrees): 13.5031 13.5031 13.5031 90.00 90.00 90.00
Space group Fm-3m (No. 225)
Asymmetric unit:
K  0.0000  0.2500  0.2500
U  0.0000  0.0000  0.0000
Br  0.0000  0.0000  0.2227
Br  0.2500  0.2500  0.2500

***

Density functional theory data (PBE) for an optimized crystal structure of K3UBr6.

Lattice parameters (Å, degrees): 7.9385 8.5115 13.8476 90.00 123.70 90.00
Space group P2_1/c (No. 14)
Asymmetric unit:
K  0.0000  0.0000  0.0000
K  0.2110  0.0805  0.7430
U  0.5000  0.0000  0.5000
Br  0.1421  0.1801  0.4382
Br  0.2522  0.7146  0.4211
Br  0.4045  0.0596  0.2667

***

Density functional theory data (PBE) for an optimized crystal structure of K2UBr4.

Lattice parameters (Å, degrees): 5.7645 5.7645 16.9168 90.00 90.00 90.00
Space group I4/mmm (No. 139)
Asymmetric unit:
K  0.0000  0.0000  0.1353
U  0.0000  0.0000  0.5000
Br  0.0000  0.0000  0.3264
Br  0.0000  0.5000  0.0000

***

Density functional theory data (PBE) for an optimized crystal structure of KUBr4.

Lattice parameters (Å, degrees): 10.1495 16.1032 7.3214 90.00 127.26 90.00
Space group C2/c (No. 15)
Asymmetric unit:
K  0.0000  0.1540  0.2500
U  0.0000  0.4206  0.7500
Br  0.1588  0.2953  0.6774
Br  0.2269  0.4612  0.2427

***

Number 1: formation energy (no corrections) -1523 meV per atom, V 41.03 Å³/atom. Number 2: formation energy (no corrections) -1578 meV per atom, V 38.92 Å³/atom. Number 3: formation energy (no corrections) -1227 meV per atom, V 40.15 Å³/atom. Number 4: formation energy (no corrections) -1428 meV per atom, V 39.68 Å³/atom.